First-principles (PBE) data for a geometry-optimized ErZn11 structure, as listed in Alexandria via LeMat-Bulk.

Values from the calculation:
**Calculated density**: 7.773 g/cm3
**ΔH_f (0 K)**: -15.6 kJ/mol of atoms
**Final energy**: -0.1256 Ry/atom
**DOS(E_F)**: 6.9 states/eV/cell

Unit cell a=6.823 b=8.196 c=8.196 alpha=80.02 beta=65.40 gamma=65.40
Element x y z (fractional)
Zn: 0.155 0.174 0.416
Zn: 0.671 0.584 0.174
Zn: 0.004 0.916 0.674
Zn: 0.875 0.250 0.250
Zn: 0.875 0.750 0.250
Zn: 0.875 0.250 0.750
Zn: 0.079 0.916 0.326
Zn: 0.595 0.326 0.084
Zn: 0.322 0.084 0.674
Zn: 0.322 0.674 0.084
Zn: 0.595 0.084 0.326
Zn: 0.004 0.674 0.916
Zn: 0.746 0.584 0.826
Zn: 0.746 0.826 0.584
Zn: 0.750 0.500 0.500
Zn: 0.428 0.826 0.416
Zn: 0.155 0.416 0.174
Zn: 0.428 0.416 0.826
Zn: 0.375 0.750 0.750
Zn: 0.000 0.000 0.000
Zn: 0.671 0.174 0.584
Zn: 0.079 0.326 0.916
Er: 0.500 0.000 0.000
Er: 0.250 0.500 0.500